# 1
Compound: LiPa2AlO8
Source: Alexandria via LeMat-Bulk
Functional: GGA-PBE
Structure: optimized geometry

Unit cell a=4.9364 b=4.9364 c=7.5117 alpha=90.00 beta=90.00 gamma=120.00
Element x y z (fractional)
Li 0.0000 0.0000 0.0000
Pa 0.3333 0.6667 0.3302
Pa 0.6667 0.3333 0.6698
Al 0.0000 0.0000 0.5000
O 0.1698 0.3397 0.6506
O 0.1698 0.8302 0.6506
O 0.3333 0.6667 0.0807
O 0.3397 0.1698 0.3494
O 0.6603 0.8302 0.6506
O 0.6667 0.3333 0.9193
O 0.8302 0.1698 0.3494
O 0.8302 0.6603 0.3494

=====

# 2
Compound: LiPaAlO5
Source: Alexandria via LeMat-Bulk
Functional: GGA-PBE
Structure: optimized geometry

Unit cell a=5.8380 b=5.8380 c=7.9105 alpha=101.83 beta=101.83 gamma=114.77
Element x y z (fractional)
Li 0.0405 0.9595 0.7500
Li 0.9595 0.0405 0.2500
Pa 0.0000 0.5000 0.0000
Pa 0.5000 0.0000 0.5000
Al 0.4603 0.5397 0.7500
Al 0.5397 0.4603 0.2500
O 0.1637 0.8363 0.2500
O 0.1849 0.3189 0.1616
O 0.3189 0.1849 0.6616
O 0.3457 0.6475 0.9266
O 0.3525 0.6543 0.5734
O 0.6475 0.3457 0.4266
O 0.6543 0.3525 0.0734
O 0.6811 0.8151 0.3384
O 0.8151 0.6811 0.8384
O 0.8363 0.1637 0.7500

=====

# 3
Compound: Li2PaAl3O8
Source: Alexandria via LeMat-Bulk
Functional: GGA-PBE
Structure: optimized geometry

Unit cell a=5.8149 b=5.8149 c=5.8149 alpha=62.28 beta=62.28 gamma=62.28
Element x y z (fractional)
Li 0.0000 0.0000 0.0000
Li 0.3647 0.3647 0.3647
Pa 0.7891 0.7891 0.7891
Al 0.3706 0.3706 0.8834
Al 0.3706 0.8834 0.3706
Al 0.8834 0.3706 0.3706
O 0.0979 0.0979 0.5938
O 0.0979 0.5938 0.0979
O 0.1318 0.1318 0.1318
O 0.1896 0.6006 0.6006
O 0.5938 0.0979 0.0979
O 0.6006 0.1896 0.6006
O 0.6006 0.6006 0.1896
O 0.6206 0.6206 0.6206

=====

# 4
Compound: Li2AlPbO4
Source: Alexandria via LeMat-Bulk
Functional: GGA-PBE
Structure: optimized geometry

Unit cell a=5.4369 b=5.4369 c=5.4369 alpha=127.14 beta=127.14 gamma=78.03
Element x y z (fractional)
Li 0.2500 0.7500 0.5000
Li 0.7500 0.2500 0.5000
Al 0.0000 0.0000 0.0000
Pb 0.5000 0.5000 0.0000
O 0.0799 0.0799 0.4167
O 0.3367 0.9201 0.0000
O 0.6633 0.6633 0.5833
O 0.9201 0.3367 0.0000

=====

# 5
Compound: LiAlPbO4
Source: Alexandria via LeMat-Bulk
Functional: GGA-PBE
Structure: optimized geometry

Unit cell a=6.1922 b=6.1922 c=6.1922 alpha=123.07 beta=116.05 gamma=90.87
Element x y z (fractional)
Li 0.3730 0.1230 0.2500
Li 0.6270 0.8770 0.7500
Al 0.0000 0.0000 0.5000
Al 0.0000 0.5000 0.0000
Pb 0.0000 0.5000 0.5000
Pb 0.5000 0.5000 0.0000
O 0.1996 0.7480 0.4515
O 0.2035 0.2520 0.9515
O 0.2260 0.2273 0.5013
O 0.2260 0.7247 0.9987
O 0.7740 0.2753 0.0013
O 0.7740 0.7727 0.4987
O 0.7965 0.7480 0.0485
O 0.8004 0.2520 0.5485

=====

# 6
Compound: LiAlPb2O
Source: Alexandria via LeMat-Bulk
Functional: GGA-PBE
Structure: optimized geometry

Unit cell a=5.4020 b=5.4020 c=3.6734 alpha=90.00 beta=90.00 gamma=90.00
Element x y z (fractional)
Li 0.0000 0.0000 0.0000
Al 0.5000 0.5000 0.0000
Pb 0.0000 0.5000 0.5000
Pb 0.5000 0.0000 0.5000
O 0.0000 0.0000 0.5000

=====

# 7
Compound: Li3AlPd3O8
Source: Alexandria via LeMat-Bulk
Functional: GGA-PBE
Structure: optimized geometry

Unit cell a=6.1609 b=6.1609 c=5.8921 alpha=117.54 beta=117.54 gamma=57.09
Element x y z (fractional)
Li 0.0000 0.0000 0.0000
Li 0.0000 0.5000 0.0000
Li 0.5000 0.0000 0.0000
Al 0.0000 0.0000 0.5000
Pd 0.0000 0.5000 0.5000
Pd 0.5000 0.0000 0.5000
Pd 0.5000 0.5000 0.5000
O 0.2141 0.2141 0.7135
O 0.2152 0.7413 0.6989
O 0.2164 0.2164 0.2317
O 0.2587 0.7848 0.3011
O 0.7413 0.2152 0.6989
O 0.7836 0.7836 0.7683
O 0.7848 0.2587 0.3011
O 0.7859 0.7859 0.2865

=====

# 8
Compound: Li2AlPdO4
Source: Alexandria via LeMat-Bulk
Functional: GGA-PBE
Structure: optimized geometry

Unit cell a=5.2991 b=2.8942 c=5.4006 alpha=90.00 beta=114.06 gamma=90.00
Element x y z (fractional)
Li 0.0000 0.0000 0.0000
Li 0.0000 0.5000 0.5000
Al 0.5000 0.0000 0.5000
Pd 0.5000 0.5000 0.0000
O 0.2671 0.5000 0.2831
O 0.2894 0.0000 0.7213
O 0.7106 0.0000 0.2787
O 0.7329 0.5000 0.7169

=====

Number 1: calculated total energy -93.4 eV for the cell shown, formation energy from raw total energies -2427 meV per atom. Number 2: calculated total energy -123.4 eV for the cell shown, formation energy from raw total energies -2720 meV per atom. Number 3: calculated total energy -103.5 eV for the cell shown, formation energy from raw total energies -2803 meV per atom. Number 4: calculated total energy -46.7 eV for the cell shown, formation energy from raw total energies -1949 meV per atom. Number 5: calculated total energy -84.3 eV for the cell shown, formation energy from raw total energies -1849 meV per atom. Number 6: calculated total energy -20.6 eV for the cell shown, formation energy from raw total energies -517 meV per atom. Number 7: calculated total energy -83.6 eV for the cell shown, formation energy from raw total energies -1259 meV per atom. Number 8: calculated total energy -46.9 eV for the cell shown, formation energy from raw total energies -1783 meV per atom.